First-principles (PBE+U) data for a relaxed FeBi2F11 crystal, as listed in Alexandria. Values from VASP.

```
&SYSTEM
  ibrav = 0, nat = 28, ntyp = 3
/
ATOMIC_SPECIES
Fe 55.84 Fe.upf
Bi 208.98 Bi.upf
F 19.00 F.upf
ATOMIC_POSITIONS angstrom
Fe 3.844 -13.881 3.353
Fe 1.281 -4.627 1.118
Bi 2.322 -10.686 0.579
Bi 2.804 -7.822 3.891
Bi 1.529 -11.447 5.904
Bi 3.597 -7.061 -1.434
F 3.627 -11.763 1.824
F 1.499 -6.745 2.647
F 4.696 -7.679 2.989
F 4.140 -16.450 2.924
F 0.430 -10.829 1.481
F 0.986 -2.058 1.546
F 5.373 -11.845 3.977
F -0.247 -6.663 0.494
F 2.563 -9.254 2.235
F 0.000 0.000 0.000
F 1.785 -12.718 0.046
F 3.341 -5.790 4.425
F 2.140 -9.843 4.578
F 2.986 -8.664 -0.108
F -0.129 -4.584 2.383
F 5.255 -13.924 2.087
F 0.344 -3.984 -0.399
F 2.592 -4.088 2.377
F 4.782 -14.524 4.870
F 2.534 -14.420 2.094
F 2.319 -5.852 0.110
F 2.807 -12.656 4.361
CELL_PARAMETERS angstrom
-2.457 -7.787 1.698
3.987 -6.493 -3.526
3.596 -4.228 6.299
```

Values from the calculation:
* calculated volume: 15.8 Å³ per atom
* total DFT energy (no corrections): -4.4887 eV/atom